[1]
# LaRhSe2 (PBEsol, optimized geometry)
# Formation energy without anion corrections in eV per formula unit: -3.775
# E above lowest polymorph in meV per atom: 195
# Space-group type: No. 123
data_LaRhSe2
_chemical_formula_sum 'La1 Rh1 Se2'
_space_group_name_H-M_alt 'P 1'
_space_group_IT_number 1
_space_group_name_Hall 'P 1'
_cell_length_a 4.7000
_cell_length_b 4.7000
_cell_length_c 3.6059
_cell_angle_alpha 90.00
_cell_angle_beta 90.00
_cell_angle_gamma 90.00
loop_
_atom_site_label
_atom_site_type_symbol
_atom_site_fract_x
_atom_site_fract_y
_atom_site_fract_z
La1 La 0.0000 0.0000 0.0000
Rh1 Rh 0.5000 0.5000 0.0000
Se1 Se 0.0000 0.5000 0.5000
Se2 Se 0.5000 0.0000 0.5000

=====

[2]
# HgH2Pb (PBEsol, optimized geometry)
# Final energy in eV for the cell shown: -18.63
# Space-group type: No. 122
data_HgH2Pb
_chemical_formula_sum 'Hg2 H4 Pb2'
_space_group_name_H-M_alt 'P 1'
_space_group_IT_number 1
_space_group_name_Hall 'P 1'
_cell_length_a 7.3038
_cell_length_b 7.3038
_cell_length_c 7.3038
_cell_angle_alpha 143.55
_cell_angle_beta 143.55
_cell_angle_gamma 52.51
loop_
_atom_site_label
_atom_site_type_symbol
_atom_site_fract_x
_atom_site_fract_y
_atom_site_fract_z
Hg1 Hg 0.0000 0.0000 0.0000
Hg2 Hg 0.7500 0.2500 0.5000
H1 H 0.2420 0.6250 0.1170
H2 H 0.3750 0.4920 0.6170
H3 H 0.5080 0.1250 0.8830
H4 H 0.8750 0.7580 0.3830
Pb1 Pb 0.2500 0.7500 0.5000
Pb2 Pb 0.5000 0.5000 0.0000

=====

[3]
# In2AgMo (PBEsol, optimized geometry)
# Energy of formation from the pure elements in eV per formula unit: 1.03
# E above lowest polymorph in meV per atom: 0
# Space-group type: No. 166
data_In2AgMo
_chemical_formula_sum 'In2 Ag1 Mo1'
_space_group_name_H-M_alt 'P 1'
_space_group_IT_number 1
_space_group_name_Hall 'P 1'
_cell_length_a 9.5494
_cell_length_b 9.5494
_cell_length_c 9.5494
_cell_angle_alpha 18.17
_cell_angle_beta 18.17
_cell_angle_gamma 18.17
loop_
_atom_site_label
_atom_site_type_symbol
_atom_site_fract_x
_atom_site_fract_y
_atom_site_fract_z
In1 In 0.2486 0.2486 0.2486
In2 In 0.7514 0.7514 0.7514
Ag1 Ag 0.0000 0.0000 0.0000
Mo1 Mo 0.5000 0.5000 0.5000

=====

[4]
# YBe2Co (PBEsol, optimized geometry)
# Energy of formation from the pure elements in eV per formula unit: 0.52
# E above lowest polymorph in meV per atom: 306
# Space-group type: No. 99
data_YBe2Co
_chemical_formula_sum 'Y1 Be2 Co1'
_space_group_name_H-M_alt 'P 1'
_space_group_IT_number 1
_space_group_name_Hall 'P 1'
_cell_length_a 2.8975
_cell_length_b 2.8975
_cell_length_c 6.3349
_cell_angle_alpha 90.00
_cell_angle_beta 90.00
_cell_angle_gamma 90.00
loop_
_atom_site_label
_atom_site_type_symbol
_atom_site_fract_x
_atom_site_fract_y
_atom_site_fract_z
Y1 Y 0.0000 0.0000 0.0000
Be1 Be 0.0000 0.0000 0.5388
Be2 Be 0.5000 0.5000 0.3552
Co1 Co 0.5000 0.5000 0.6959

=====

[5]
# TeRh2Au (PBEsol, optimized geometry)
# Formation energy without anion corrections in eV per formula unit: 0.172
# Space-group type: No. 12
data_TeRh2Au
_chemical_formula_sum 'Te1 Rh2 Au1'
_space_group_name_H-M_alt 'P 1'
_space_group_IT_number 1
_space_group_name_Hall 'P 1'
_cell_length_a 4.2547
_cell_length_b 4.2547
_cell_length_c 5.2996
_cell_angle_alpha 105.24
_cell_angle_beta 105.24
_cell_angle_gamma 48.33
loop_
_atom_site_label
_atom_site_type_symbol
_atom_site_fract_x
_atom_site_fract_y
_atom_site_fract_z
Te1 Te 0.0000 0.0000 0.0000
Rh1 Rh 0.2546 0.2546 0.7728
Rh2 Rh 0.7454 0.7454 0.2272
Au1 Au 0.5000 0.5000 0.5000

=====

[6]
# Ru5Pt (PBEsol, optimized geometry)
# Energy of formation from the pure elements in eV per formula unit: 0.04
# E above lowest polymorph in meV per atom: 2
# Space-group type: No. 38
data_Ru5Pt
_chemical_formula_sum 'Ru5 Pt1'
_space_group_name_H-M_alt 'P 1'
_space_group_IT_number 1
_space_group_name_Hall 'P 1'
_cell_length_a 4.2816
_cell_length_b 7.1600
_cell_length_c 7.1600
_cell_angle_alpha 21.70
_cell_angle_beta 90.00
_cell_angle_gamma 90.00
loop_
_atom_site_label
_atom_site_type_symbol
_atom_site_fract_x
_atom_site_fract_y
_atom_site_fract_z
Ru1 Ru 0.0000 0.0000 0.0000
Ru2 Ru 0.0000 0.3290 0.3290
Ru3 Ru 0.0000 0.6641 0.6641
Ru4 Ru 0.5000 0.2169 0.2169
Ru5 Ru 0.5000 0.5579 0.5579
Pt1 Pt 0.5000 0.8875 0.8875

=====

no.,calculated volume (Å³ per cell)
1,79.7
2,136.8
3,74.0
4,53.2
5,68.6
6,81.1